# Ga2Fe2Ni7, relaxed, DFT PBE
data_Ga2Fe2Ni7
_symmetry_space_group_name_H-M 'P 1'
_symmetry_Int_Tables_number 1
_cell_length_a 4.417
_cell_length_b 9.035
_cell_length_c 6.186
_cell_angle_alpha 42.10
_cell_angle_beta 65.82
_cell_angle_gamma 53.94
loop_
_symmetry_equiv_pos_as_xyz
'x,y,z'
loop_
_atom_site_label
_atom_site_type_symbol
_atom_site_fract_x
_atom_site_fract_y
_atom_site_fract_z
Ga1 Ga 0.499 0.218 0.557
Ga2 Ga 0.501 0.782 0.443
Fe1 Fe 0.025 0.264 0.998
Fe2 Fe 0.975 0.736 0.002
Ni1 Ni 0.835 0.922 0.488
Ni2 Ni 0.175 0.580 0.489
Ni3 Ni 0.165 0.078 0.512
Ni4 Ni 0.825 0.420 0.511
Ni5 Ni 0.631 0.597 0.005
Ni6 Ni 0.000 0.000 0.000
Ni7 Ni 0.369 0.403 0.995
# - Formation energy from the elements: -26 meV/atom
# - Total moment: 7.7 μB per formula unit
# - DOS at the Fermi energy: 10.0 states/eV per cell
# - Crystal system: triclinic